[1]
First-principles (PBE) data for a geometry-optimized AgOsSO structure, as listed in the Open Quantum Materials Database.

Structure (CIF):
```
data_AgOsSO
_cell_length_a 2.983
_cell_length_b 7.568
_cell_length_c 5.767
_cell_angle_alpha 90.00
_cell_angle_beta 90.00
_cell_angle_gamma 90.00
_space_group_name_H-M_alt 'P 1'
_space_group_IT_number 1
loop_
_space_group_symop_operation_xyz
'x,y,z'
loop_
_atom_site_label
_atom_site_type_symbol
_atom_site_fract_x
_atom_site_fract_y
_atom_site_fract_z
Ag1 Ag 0.000 0.169 0.000
Ag2 Ag 0.000 0.831 0.500
Os1 Os 0.500 0.339 0.369
Os2 Os 0.500 0.661 0.869
S1 S 0.000 0.165 0.563
S2 S 0.000 0.835 0.063
O1 O 0.500 0.453 0.068
O2 O 0.500 0.547 0.568
```

Computed properties:
E_tot in eV per atom: -5.79
Crystal system: orthorhombic
ΔE to the lowest computed polymorph in meV per atom: 114

[2]
First-principles (PBE) data for a geometry-optimized AgOsSO structure, as listed in the Open Quantum Materials Database.

Structure (CIF):
```
data_AgOsSO
_cell_length_a 3.592
_cell_length_b 3.592
_cell_length_c 8.842
_cell_angle_alpha 90.00
_cell_angle_beta 90.00
_cell_angle_gamma 90.00
_space_group_name_H-M_alt 'P 1'
_space_group_IT_number 1
loop_
_space_group_symop_operation_xyz
'x,y,z'
loop_
_atom_site_label
_atom_site_type_symbol
_atom_site_fract_x
_atom_site_fract_y
_atom_site_fract_z
Ag1 Ag 0.250 0.750 0.000
Ag2 Ag 0.750 0.250 0.000
Os1 Os 0.250 0.250 0.362
Os2 Os 0.750 0.750 0.638
S1 S 0.250 0.250 0.756
S2 S 0.750 0.750 0.244
O1 O 0.250 0.750 0.500
O2 O 0.750 0.250 0.500
```

Computed properties:
E_tot in eV per atom: -5.27
Crystal system: tetragonal
ΔE to the lowest computed polymorph in meV per atom: 631